Run 1
P2IrWO: optimized geometry, PBE with a Hubbard U.

Structure (extended XYZ):
```
5
Lattice="4.834 0.000 0.000 0.000 4.834 0.000 0.000 0.000 3.656" Properties=species:S:1:pos:R:3 pbc="T T T"
P 0.000 2.417 0.000
P 2.417 0.000 0.000
Ir 0.000 0.000 0.000
W 2.417 2.417 1.828
O 0.000 0.000 1.828
```

---

Run 2
P2IrWO: optimized geometry, PBE with a Hubbard U.

Structure (extended XYZ):
```
5
Lattice="4.853 0.000 0.000 0.000 4.853 0.000 0.000 0.000 3.700" Properties=species:S:1:pos:R:3 pbc="T T T"
P 0.000 2.427 0.000
P 2.427 0.000 0.000
Ir 0.000 0.000 1.850
W 2.427 2.427 0.000
O 2.427 2.427 1.850
```

---

Name the least stable of them. run 1.